Entry 1:
DFT (PBE) results for a relaxed AgTe2Mo crystal.

Unit cell a=3.399 b=3.630 c=8.068 alpha=90.00 beta=102.10 gamma=90.00
Space group Pm (No. 6)
Unique sites:
Ag  0.000  0.000  0.000 x1
Te  0.606  0.500  0.217 x1
Te  0.821  0.000  0.648 x1
Mo  0.239  0.500  0.484 x1

Values from the calculation:
- energy relative to the elements, uncorrected (meV per atom) = 185
- theoretical density (Mg/m³) = 7.8

Entry 2:
DFT (PBE) results for a relaxed Ti3CuB crystal.

Unit cell a=4.477 b=4.477 c=4.477 alpha=90.00 beta=90.00 gamma=90.00
Space group Pm-3m (No. 221)
Unique sites:
Ti  0.000  0.000  0.500 x3
Cu  0.000  0.000  0.000 x1
B  0.500  0.500  0.500 x1

Values from the calculation:
- energy relative to the elements (eV per formula unit) = 6.00
- theoretical density (Mg/m³) = 4.0

Entry 3:
DFT (PBE) results for a relaxed SnTe2As crystal.

Unit cell a=7.471 b=7.471 c=7.471 alpha=90.00 beta=90.00 gamma=90.00
Space group Fm-3m (No. 225)
Unique sites:
Sn  0.000  0.000  0.000 x4
Te  0.250  0.250  0.250 x8
As  0.000  0.000  0.500 x4

Values from the calculation:
- energy relative to the elements, uncorrected (meV per atom) = 231
- theoretical density (Mg/m³) = 7.1

Entry 4:
DFT (PBE) results for a relaxed TaBRu3 crystal.

Unit cell a=4.881 b=5.341 c=5.425 alpha=72.43 beta=89.17 gamma=89.34
Space group P1 (No. 1)
Unique sites:
Ta  0.000  0.000  0.000 x1
Ta  0.487  0.274  0.104 x1
B  0.087  0.693  0.413 x1
B  0.716  0.698  0.897 x1
Ru  0.315  0.259  0.591 x1
Ru  0.319  0.738  0.723 x1
Ru  0.487  0.758  0.224 x1
Ru  0.797  0.441  0.668 x1
Ru  0.808  0.982  0.519 x1
Ru  0.995  0.446  0.175 x1

Values from the calculation:
- energy relative to the elements (eV per formula unit) = -0.99
- theoretical density (Mg/m³) = 12.2

Entry 5:
DFT (PBE) results for a relaxed TlCd5In8 crystal.

Unit cell a=9.392 b=9.392 c=8.572 alpha=90.00 beta=90.00 gamma=90.00
Space group I-4 (No. 82)
Unique sites:
Tl  0.000  0.000  0.000 x2
Cd  0.000  0.500  0.250 x2
Cd  0.096  0.164  0.610 x8
In  0.040  0.340  0.917 x8
In  0.140  0.215  0.258 x8

Values from the calculation:
- energy relative to the elements (eV per formula unit) = 0.95
- theoretical density (Mg/m³) = 7.4

Entry 6:
DFT (PBE) results for a relaxed Cs2NaPPb crystal.

Unit cell a=6.982 b=6.982 c=5.927 alpha=90.00 beta=90.00 gamma=90.00
Space group P4/mmm (No. 123)
Unique sites:
Cs  0.000  0.500  0.000 x2
Na  0.000  0.000  0.500 x1
P  0.500  0.500  0.500 x1
Pb  0.000  0.000  0.000 x1

Values from the calculation:
- energy relative to the elements (eV per formula unit) = 2.56
- theoretical density (Mg/m³) = 3.0

Entry 7:
DFT (PBE) results for a relaxed HoErAlNi crystal.

Unit cell a=6.978 b=6.978 c=6.978 alpha=90.00 beta=90.00 gamma=90.00
Space group F-43m (No. 216)
Unique sites:
Ho  0.000  0.000  0.000 x4
Er  0.000  0.000  0.500 x4
Al  0.250  0.250  0.250 x4
Ni  0.250  0.250  0.750 x4

Values from the calculation:
- energy relative to the elements (eV per formula unit) = -1.35
- theoretical density (Mg/m³) = 8.2

Entry 8:
DFT (PBE) results for a relaxed MgFeSe2 crystal.

Unit cell a=3.6925 b=3.6925 c=17.8378 alpha=90.00 beta=90.00 gamma=120.00
Space group R-3m (No. 166, hexagonal axes)
Unique sites:
Mg  0.0000  0.0000  0.0000 x3
Fe  0.0000  0.0000  0.5000 x3
Se  0.0000  0.0000  0.2364 x6

Values from the calculation:
- energy relative to the elements, uncorrected (meV per atom) = -403
- theoretical density (Mg/m³) = 5.6

Entry 9:
DFT (PBE) results for a relaxed Be2AlW crystal.

Unit cell a=2.838 b=4.261 c=8.391 alpha=90.00 beta=90.00 gamma=90.00
Space group Immm (No. 71)
Unique sites:
Be  0.000  0.000  0.248 x4
Al  0.000  0.500  0.000 x2
W  0.000  0.500  0.500 x2

Values from the calculation:
- energy relative to the elements (eV per formula unit) = 0.89
- theoretical density (Mg/m³) = 7.5

Entry 10:
DFT (PBE) results for a relaxed ZrBe2S2 crystal.

Unit cell a=6.791 b=6.791 c=3.217 alpha=90.00 beta=90.00 gamma=90.00
Space group P4/mbm (No. 127)
Unique sites:
Zr  0.000  0.000  0.000 x2
Be  0.107  0.393  0.000 x4
S  0.237  0.263  0.500 x4

Values from the calculation:
- energy relative to the elements, uncorrected (meV per atom) = -291
- theoretical density (Mg/m³) = 3.9

> What is the theoretical density in the seventh record?

8.2 Mg/m³

> Look up the theoretical density of the second one.

4.0 Mg/m³

> Which value of theoretical density does entry 2 give?

4.0 Mg/m³